# 1
Density functional theory data (PBE-GGA) for a relaxed structure of Nb2H2Os. Values from VASP.

Structure (Quantum ESPRESSO input):
```
&SYSTEM
  ibrav = 0, nat = 5, ntyp = 3
/
ATOMIC_SPECIES
H 1.01 H.upf
Nb 92.91 Nb.upf
Os 190.23 Os.upf
CELL_PARAMETERS angstrom
-2.261 -0.792 -1.810
0.539 -2.893 0.593
-4.811 -1.591 4.216
ATOMIC_POSITIONS crystal
H 0.250 0.750 0.500
H 0.750 0.250 0.500
Nb 0.643 0.643 0.714
Nb 0.357 0.357 0.286
Os 0.000 0.000 0.000
```

Computed properties:
The density comes out at 11.2 g/cm3. As for the total energy: -7.86 eV per atom. Its symmetry is I4/mmm, No. 139. The total magnetization comes out at 0.000 μB/atom. The calculation puts the density of states at the Fermi level at 0.8842 states/eV per atom.



# 2
Density functional theory data (PBE-GGA) for a relaxed structure of Nb2HOsPd. Values from VASP.

Structure (Quantum ESPRESSO input):
```
&SYSTEM
  ibrav = 0, nat = 5, ntyp = 4
/
ATOMIC_SPECIES
Nb 92.91 Nb.upf
H 1.01 H.upf
Os 190.23 Os.upf
Pd 106.42 Pd.upf
CELL_PARAMETERS angstrom
-2.197 3.212 -1.355
-2.341 -2.546 -2.241
-2.477 -0.407 3.050
ATOMIC_POSITIONS crystal
Nb 0.500 0.000 0.000
H 0.000 0.000 0.000
Nb 0.000 0.500 0.000
Os 0.500 0.500 0.500
Pd 0.000 0.000 0.500
```

Computed properties:
The density comes out at 12.0 g/cm3. As for the total energy: -8.15 eV per atom. Its symmetry is P4/mmm, No. 123. The total magnetization comes out at 0.000 μB/atom. The calculation puts the density of states at the Fermi level at 0.6041 states/eV per atom.



# 3
Density functional theory data (PBE-GGA) for a relaxed structure of Nb2HOsPd. Values from VASP.

Structure (Quantum ESPRESSO input):
```
&SYSTEM
  ibrav = 0, nat = 5, ntyp = 4
/
ATOMIC_SPECIES
Os 190.23 Os.upf
Nb 92.91 Nb.upf
Pd 106.42 Pd.upf
H 1.01 H.upf
CELL_PARAMETERS angstrom
-2.386 0.629 -3.301
3.141 -1.023 -2.465
-1.147 -3.785 0.108
ATOMIC_POSITIONS crystal
Os 0.000 0.000 0.500
Nb 0.000 0.500 0.000
Nb 0.500 0.000 0.000
Pd 0.500 0.500 0.500
H 0.000 0.000 0.000
```

Computed properties:
The density comes out at 11.9 g/cm3. As for the total energy: -8.15 eV per atom. Its symmetry is P4/mmm, No. 123. The total magnetization comes out at 0.000 μB/atom. The calculation puts the density of states at the Fermi level at 0.5625 states/eV per atom.



# 4
Density functional theory data (PBE-GGA) for a relaxed structure of Nb2ReHOs. Values from VASP.

Structure (Quantum ESPRESSO input):
```
&SYSTEM
  ibrav = 0, nat = 5, ntyp = 4
/
ATOMIC_SPECIES
Re 186.21 Re.upf
Nb 92.91 Nb.upf
Os 190.23 Os.upf
H 1.01 H.upf
CELL_PARAMETERS angstrom
4.351 0.000 0.000
0.000 4.351 0.000
0.000 0.000 3.609
ATOMIC_POSITIONS crystal
Re 0.000 0.000 0.500
Nb 0.000 0.500 0.000
Nb 0.500 0.000 0.000
Os 0.500 0.500 0.500
H 0.000 0.000 0.000
```

Computed properties:
The density comes out at 13.7 g/cm3. As for the total energy: -9.44 eV per atom. Its symmetry is P4/mmm, No. 123. The total magnetization comes out at 0.000 μB/atom. The calculation puts the density of states at the Fermi level at 0.9123 states/eV per atom.



# 5
Density functional theory data (PBE-GGA) for a relaxed structure of NbReHOs2. Values from VASP.

Structure (Quantum ESPRESSO input):
```
&SYSTEM
  ibrav = 0, nat = 5, ntyp = 4
/
ATOMIC_SPECIES
Nb 92.91 Nb.upf
Re 186.21 Re.upf
Os 190.23 Os.upf
H 1.01 H.upf
CELL_PARAMETERS angstrom
3.985 0.000 0.000
0.000 3.985 0.000
0.000 0.000 4.000
ATOMIC_POSITIONS crystal
Nb 0.500 0.500 0.500
Re 0.000 0.000 0.500
Os 0.000 0.500 0.000
Os 0.500 0.000 0.000
H 0.000 0.000 0.000
```

Computed properties:
The density comes out at 17.3 g/cm3. As for the total energy: -9.63 eV per atom. Its symmetry is P4/mmm, No. 123. The total magnetization comes out at 0.000 μB/atom. The calculation puts the density of states at the Fermi level at 0.9533 states/eV per atom.



# 6
Density functional theory data (PBE-GGA) for a relaxed structure of Nb2ReHOs. Values from VASP.

Structure (Quantum ESPRESSO input):
```
&SYSTEM
  ibrav = 0, nat = 5, ntyp = 4
/
ATOMIC_SPECIES
Nb 92.91 Nb.upf
Re 186.21 Re.upf
H 1.01 H.upf
Os 190.23 Os.upf
CELL_PARAMETERS angstrom
-1.612 -2.086 -3.515
-2.730 -2.264 2.595
-2.452 2.526 -0.375
ATOMIC_POSITIONS crystal
Nb 0.500 0.000 0.000
Re 0.500 0.500 0.500
H 0.000 0.000 0.000
Nb 0.000 0.500 0.000
Os 0.000 0.000 0.500
```

Computed properties:
The density comes out at 13.7 g/cm3. As for the total energy: -9.48 eV per atom. Its symmetry is P4/mmm, No. 123. The total magnetization comes out at 0.000 μB/atom. The calculation puts the density of states at the Fermi level at 0.5621 states/eV per atom.



Question: The lowest density belongs to which entry?
Answer: Nb2H2Os



Please write out number 6 again, unchanged.
Density functional theory data (PBE-GGA) for a relaxed structure of Nb2ReHOs. Values from VASP.

Structure (Quantum ESPRESSO input):
```
&SYSTEM
  ibrav = 0, nat = 5, ntyp = 4
/
ATOMIC_SPECIES
Nb 92.91 Nb.upf
Re 186.21 Re.upf
H 1.01 H.upf
Os 190.23 Os.upf
CELL_PARAMETERS angstrom
-1.612 -2.086 -3.515
-2.730 -2.264 2.595
-2.452 2.526 -0.375
ATOMIC_POSITIONS crystal
Nb 0.500 0.000 0.000
Re 0.500 0.500 0.500
H 0.000 0.000 0.000
Nb 0.000 0.500 0.000
Os 0.000 0.000 0.500
```

Computed properties:
The density comes out at 13.7 g/cm3. As for the total energy: -9.48 eV per atom. Its symmetry is P4/mmm, No. 123. The total magnetization comes out at 0.000 μB/atom. The calculation puts the density of states at the Fermi level at 0.5621 states/eV per atom.